Ba3Te2O8 PBE optimized geometry; symmetry = R-3m (166); formation energy from raw total energies = -1867 meV per atom; total energy = -0.430 Ry/atom
1.0
3.2093 1.8529 6.7805
-3.2093 1.8529 6.7805
0.0000 -3.7058 6.7805
Ba Te O
3 2 8
direct
0.0000 0.0000 0.0000 Ba
0.2083 0.2083 0.2083 Ba
0.7917 0.7917 0.7917 Ba
0.4265 0.4265 0.4265 Te
0.5735 0.5735 0.5735 Te
0.2183 0.7378 0.7378 O
0.2622 0.2622 0.7817 O
0.2622 0.7817 0.2622 O
0.3346 0.3346 0.3346 O
0.6654 0.6654 0.6654 O
0.7378 0.2183 0.7378 O
0.7378 0.7378 0.2183 O
0.7817 0.2622 0.2622 O